# CuSnHg2Cl

A geometry-optimized CuSnHg2Cl structure (GGA-PBEsol, the Alexandria database).

Output
- N(E_F): 2.69 states/eV/f.u.
- Raw total energy: -0.11299 Ry per atom
- ΔE_f (raw): 0.81 eV per atom
- M_tot: 0.00 μB/f.u.

Unit cell a=5.407 b=5.407 c=5.274 alpha=90.00 beta=90.00 gamma=90.00
Atoms (fractional coordinates):
Cu1 0.000 0.000 0.000
Sn1 0.500 0.500 0.000
Hg1 0.000 0.500 0.500
Hg2 0.500 0.000 0.500
Cl1 0.500 0.500 0.500

---

# RbGa3Sb

A geometry-optimized RbGa3Sb structure (GGA-PBEsol, the Alexandria database).

Output
- N(E_F): 3.25 states/eV/f.u.
- Raw total energy: -0.14032 Ry per atom
- ΔE_f (raw): 1.21 eV per atom
- M_tot: 0.00 μB/f.u.

Unit cell a=5.594 b=5.594 c=5.594 alpha=90.00 beta=90.00 gamma=90.00
Atoms (fractional coordinates):
Rb1 0.000 0.000 0.000
Ga1 0.000 0.000 0.500
Ga2 0.000 0.500 0.000
Ga3 0.500 0.000 0.000
Sb1 0.500 0.500 0.500

---

# CdSbMo2

A geometry-optimized CdSbMo2 structure (GGA-PBEsol, the Alexandria database).

Output
- N(E_F): 3.33 states/eV/f.u.
- Raw total energy: -0.49428 Ry per atom
- E above lowest polymorph: 196 meV per atom
- ΔE_f (raw): 0.60 eV per atom
- M_tot: 0.00 μB/f.u.

Unit cell a=6.561 b=6.561 c=6.561 alpha=90.00 beta=90.00 gamma=90.00
Atoms (fractional coordinates):
Cd1 0.000 0.000 0.000
Cd2 0.000 0.500 0.500
Cd3 0.500 0.000 0.500
Cd4 0.500 0.500 0.000
Sb1 0.250 0.250 0.250
Sb2 0.250 0.750 0.750
Sb3 0.750 0.250 0.750
Sb4 0.750 0.750 0.250
Mo1 0.000 0.000 0.500
Mo2 0.000 0.500 0.000
Mo3 0.250 0.250 0.750
Mo4 0.250 0.750 0.250
Mo5 0.500 0.000 0.000
Mo6 0.500 0.500 0.500
Mo7 0.750 0.250 0.250
Mo8 0.750 0.750 0.750

---

# KCaZrIr2

A geometry-optimized KCaZrIr2 structure (GGA-PBEsol, the Alexandria database).

Output
- N(E_F): 4.97 states/eV/f.u.
- Raw total energy: -0.40533 Ry per atom
- E_form: 0.886 eV/atom
- M_tot: 0.00 μB/f.u.

Unit cell a=4.900 b=4.900 c=5.589 alpha=90.00 beta=90.00 gamma=90.00
Atoms (fractional coordinates):
K1 0.000 0.000 0.000
Ca1 0.500 0.500 0.000
Zr1 0.500 0.500 0.500
Ir1 0.000 0.500 0.500
Ir2 0.500 0.000 0.500

---

# CrFeBr2

A geometry-optimized CrFeBr2 structure (GGA-PBEsol, the Alexandria database).

Output
- N(E_F): 2.65 states/eV/f.u.
- Raw total energy: -0.38082 Ry per atom
- E above lowest polymorph: 0 meV per atom
- ΔE_f (raw): 0.56 eV per atom
- M_tot: 7.97 μB/f.u.

Unit cell a=6.636 b=6.636 c=6.636 alpha=90.00 beta=90.00 gamma=90.00
Atoms (fractional coordinates):
Cr1 0.000 0.000 0.000
Cr2 0.000 0.500 0.500
Cr3 0.500 0.000 0.500
Cr4 0.500 0.500 0.000
Fe1 0.000 0.000 0.500
Fe2 0.000 0.500 0.000
Fe3 0.500 0.000 0.000
Fe4 0.500 0.500 0.500
Br1 0.250 0.250 0.250
Br2 0.250 0.250 0.750
Br3 0.250 0.750 0.250
Br4 0.250 0.750 0.750
Br5 0.750 0.250 0.250
Br6 0.750 0.250 0.750
Br7 0.750 0.750 0.250
Br8 0.750 0.750 0.750

---

# Ga2SnHg

A geometry-optimized Ga2SnHg structure (GGA-PBEsol, the Alexandria database).

Output
- N(E_F): 1.67 states/eV/f.u.
- Raw total energy: -0.20741 Ry per atom
- E_form: 0.054 eV/atom
- E above lowest polymorph: 0 meV per atom
- M_tot: 0.00 μB/f.u.

Unit cell a=7.010 b=7.010 c=7.010 alpha=90.00 beta=90.00 gamma=90.00
Atoms (fractional coordinates):
Ga1 0.250 0.250 0.250
Ga2 0.250 0.250 0.750
Ga3 0.250 0.750 0.250
Ga4 0.250 0.750 0.750
Ga5 0.750 0.250 0.250
Ga6 0.750 0.250 0.750
Ga7 0.750 0.750 0.250
Ga8 0.750 0.750 0.750
Sn1 0.000 0.000 0.000
Sn2 0.000 0.500 0.500
Sn3 0.500 0.000 0.500
Sn4 0.500 0.500 0.000
Hg1 0.000 0.000 0.500
Hg2 0.000 0.500 0.000
Hg3 0.500 0.000 0.000
Hg4 0.500 0.500 0.500

---

# NbIrSe2

A geometry-optimized NbIrSe2 structure (GGA-PBEsol, the Alexandria database).

Output
- N(E_F): 3.15 states/eV/f.u.
- Raw total energy: -0.50028 Ry per atom
- E above lowest polymorph: 443 meV per atom
- ΔE_f (raw): 0.28 eV per atom
- M_tot: 0.00 μB/f.u.

Unit cell a=3.370 b=3.370 c=24.250 alpha=90.00 beta=90.00 gamma=120.00
Atoms (fractional coordinates):
Nb1 0.000 0.000 0.000
Nb2 0.333 0.667 0.667
Nb3 0.667 0.333 0.333
Ir1 0.000 0.000 0.500
Ir2 0.333 0.667 0.167
Ir3 0.667 0.333 0.833
Se1 0.000 0.000 0.105
Se2 0.000 0.000 0.895
Se3 0.333 0.667 0.562
Se4 0.333 0.667 0.771
Se5 0.667 0.333 0.229
Se6 0.667 0.333 0.438

---

# MnZnSi2

A geometry-optimized MnZnSi2 structure (GGA-PBEsol, the Alexandria database).

Output
- N(E_F): 2.26 states/eV/f.u.
- Raw total energy: -0.40488 Ry per atom
- ΔE_f (raw): 0.20 eV per atom
- M_tot: 2.20 μB/f.u.

Unit cell a=3.723 b=3.723 c=16.298 alpha=90.00 beta=90.00 gamma=90.00
Atoms (fractional coordinates):
Mn1 0.000 0.000 0.000
Mn2 0.000 0.500 0.250
Mn3 0.500 0.000 0.750
Mn4 0.500 0.500 0.500
Zn1 0.000 0.000 0.500
Zn2 0.000 0.500 0.750
Zn3 0.500 0.000 0.250
Zn4 0.500 0.500 0.000
Si1 0.230 0.250 0.125
Si2 0.250 0.730 0.375
Si3 0.250 0.770 0.875
Si4 0.270 0.250 0.625
Si5 0.730 0.750 0.625
Si6 0.750 0.230 0.875
Si7 0.750 0.270 0.375
Si8 0.770 0.750 0.125

---

# SrTePt2

A geometry-optimized SrTePt2 structure (GGA-PBEsol, the Alexandria database).

Output
- N(E_F): 2.40 states/eV/f.u.
- Raw total energy: -0.36525 Ry per atom
- E above lowest polymorph: 479 meV per atom
- ΔE_f (raw): -0.15 eV per atom
- M_tot: 0.00 μB/f.u.

Unit cell a=6.936 b=6.936 c=6.936 alpha=90.00 beta=90.00 gamma=90.00
Atoms (fractional coordinates):
Sr1 0.000 0.000 0.000
Sr2 0.000 0.500 0.500
Sr3 0.500 0.000 0.500
Sr4 0.500 0.500 0.000
Te1 0.250 0.250 0.750
Te2 0.250 0.750 0.250
Te3 0.750 0.250 0.250
Te4 0.750 0.750 0.750
Pt1 0.000 0.000 0.500
Pt2 0.000 0.500 0.000
Pt3 0.250 0.250 0.250
Pt4 0.250 0.750 0.750
Pt5 0.500 0.000 0.000
Pt6 0.500 0.500 0.500
Pt7 0.750 0.250 0.750
Pt8 0.750 0.750 0.250

---

# KYNi2

A geometry-optimized KYNi2 structure (GGA-PBEsol, the Alexandria database).

Output
- N(E_F): 2.87 states/eV/f.u.
- Raw total energy: -0.33565 Ry per atom
- E_form: 0.501 eV/atom
- E above lowest polymorph: 268 meV per atom
- M_tot: 0.00 μB/f.u.

Unit cell a=6.785 b=6.785 c=6.785 alpha=90.00 beta=90.00 gamma=90.00
Atoms (fractional coordinates):
K1 0.000 0.000 0.000
K2 0.000 0.500 0.500
K3 0.500 0.000 0.500
K4 0.500 0.500 0.000
Y1 0.000 0.000 0.500
Y2 0.000 0.500 0.000
Y3 0.500 0.000 0.000
Y4 0.500 0.500 0.500
Ni1 0.250 0.250 0.250
Ni2 0.250 0.250 0.750
Ni3 0.250 0.750 0.250
Ni4 0.250 0.750 0.750
Ni5 0.750 0.250 0.250
Ni6 0.750 0.250 0.750
Ni7 0.750 0.750 0.250
Ni8 0.750 0.750 0.750

---

# Sr2NiPb

A geometry-optimized Sr2NiPb structure (GGA-PBEsol, the Alexandria database).

Output
- N(E_F): 2.39 states/eV/f.u.
- Raw total energy: -0.26432 Ry per atom
- E_form: -0.137 eV/atom
- M_tot: 0.00 μB/f.u.

Unit cell a=3.575 b=3.575 c=8.585 alpha=90.00 beta=90.00 gamma=90.00
Atoms (fractional coordinates):
Sr1 0.000 0.000 0.210
Sr2 0.000 0.000 0.790
Ni1 0.500 0.500 0.000
Pb1 0.500 0.500 0.500

---

# KCaAs2

A geometry-optimized KCaAs2 structure (GGA-PBEsol, the Alexandria database).

Output
- N(E_F): 5.34 states/eV/f.u.
- Raw total energy: -0.26728 Ry per atom
- E_form: -0.267 eV/atom
- E above lowest polymorph: 459 meV per atom
- M_tot: 0.00 μB/f.u.

Unit cell a=4.387 b=4.387 c=10.293 alpha=90.00 beta=90.00 gamma=90.00
Atoms (fractional coordinates):
K1 0.000 0.000 0.000
K2 0.500 0.500 0.500
Ca1 0.000 0.500 0.750
Ca2 0.500 0.000 0.250
As1 0.000 0.000 0.500
As2 0.000 0.500 0.250
As3 0.500 0.000 0.750
As4 0.500 0.500 0.000

---

# BaHBr

A geometry-optimized BaHBr structure (GGA-PBEsol, the Alexandria database).

Output
- N(E_F): 0.00 states/eV/f.u.
- Raw total energy: -0.28469 Ry per atom
- M_tot: 0.00 μB/f.u.

Unit cell a=4.492 b=4.492 c=7.252 alpha=90.00 beta=90.00 gamma=90.00
Atoms (fractional coordinates):
Ba1 0.250 0.250 0.195
Ba2 0.750 0.750 0.805
H1 0.250 0.750 0.000
H2 0.750 0.250 0.000
Br1 0.250 0.250 0.658
Br2 0.750 0.750 0.342

---

# KZnCu2

A geometry-optimized KZnCu2 structure (GGA-PBEsol, the Alexandria database).

Output
- N(E_F): 0.94 states/eV/f.u.
- Raw total energy: -0.16548 Ry per atom
- E_form: 0.594 eV/atom
- M_tot: 0.00 μB/f.u.

Unit cell a=7.047 b=7.091 c=2.688 alpha=90.00 beta=90.00 gamma=90.00
Atoms (fractional coordinates):
K1 0.000 0.000 0.000
K2 0.500 0.500 0.000
Zn1 0.000 0.500 0.000
Zn2 0.500 0.000 0.000
Cu1 0.250 0.250 0.500
Cu2 0.250 0.750 0.500
Cu3 0.750 0.250 0.500
Cu4 0.750 0.750 0.500